VASP calculation (GGA-PBE) on a relaxed NiRhC crystal.

Results
The calculation puts the size of the total moment at 0.000 μB per formula unit. The value obtained for the energy of formation from the pure elements is 0.347 eV per atom. The calculation puts the energy above the most stable polymorph in this dataset at 0.036 eV/atom.

Cell and atoms, written as POSCAR:
```
NiRhC
1.0
2.993 0.000 0.000
-1.496 2.592 0.000
0.000 0.000 4.252
Ni Rh C
1 1 1
direct
0.000 0.000 0.000 Ni
0.667 0.333 0.519 Rh
0.333 0.667 0.774 C
```